1.
# FeHgPH, relaxed, DFT PBE-GGA
data_FeHgPH
_chemical_formula_sum 'Fe1 Hg1 P1 H1'
_symmetry_space_group_name_H-M 'P 1'
_symmetry_Int_Tables_number 1
_cell_length_a 2.905
_cell_length_b 4.080
_cell_length_c 5.309
_cell_angle_alpha 99.30
_cell_angle_beta 90.03
_cell_angle_gamma 110.86
loop_
_symmetry_equiv_pos_as_xyz
'x,y,z'
loop_
_atom_site_label
_atom_site_type_symbol
_atom_site_fract_x
_atom_site_fract_y
_atom_site_fract_z
Hg1 Hg 0.886 0.577 0.907
P1 P 0.619 0.042 0.440
H1 H 0.312 0.428 0.297
Fe1 Fe 0.903 0.610 0.408
# - Crystal system: monoclinic
# - Relative energy among the computed polymorphs: 0.4 kJ per mole of atoms
# - Fermi-level density of states: 1.2 states/eV/cell


2.
# PuMnAlZn, relaxed, DFT PBE-GGA
data_PuMnAlZn
_chemical_formula_sum 'Pu1 Mn1 Al1 Zn1'
_symmetry_space_group_name_H-M 'P 1'
_symmetry_Int_Tables_number 1
_cell_length_a 4.648
_cell_length_b 4.648
_cell_length_c 4.648
_cell_angle_alpha 60.00
_cell_angle_beta 60.00
_cell_angle_gamma 60.00
loop_
_symmetry_equiv_pos_as_xyz
'x,y,z'
loop_
_atom_site_label
_atom_site_type_symbol
_atom_site_fract_x
_atom_site_fract_y
_atom_site_fract_z
Pu1 Pu 0.500 0.500 0.500
Zn1 Zn 0.250 0.250 0.250
Al1 Al 0.000 0.000 0.000
Mn1 Mn 0.750 0.750 0.750
# - Energy relative to the elements: -0.029 eV/atom
# - Crystal system: cubic
# - Fermi-level density of states: 4.2 states/eV/cell


3.
# Sm6Dy6Ho, relaxed, DFT PBE-GGA
data_Sm6Dy6Ho
_chemical_formula_sum 'Sm6 Dy6 Ho1'
_symmetry_space_group_name_H-M 'P 1'
_symmetry_Int_Tables_number 1
_cell_length_a 6.580
_cell_length_b 6.580
_cell_length_c 11.162
_cell_angle_alpha 90.00
_cell_angle_beta 90.00
_cell_angle_gamma 115.03
loop_
_symmetry_equiv_pos_as_xyz
'x,y,z'
loop_
_atom_site_label
_atom_site_type_symbol
_atom_site_fract_x
_atom_site_fract_y
_atom_site_fract_z
Sm1 Sm 0.738 0.262 0.500
Sm2 Sm 0.000 0.000 0.672
Sm3 Sm 0.643 0.357 0.000
Sm4 Sm 0.357 0.643 0.000
Sm5 Sm 0.262 0.738 0.500
Sm6 Sm 0.000 0.000 0.328
Dy1 Dy 0.500 0.000 0.224
Dy2 Dy 0.000 0.500 0.776
Dy3 Dy 0.000 0.500 0.224
Dy4 Dy 0.500 0.500 0.697
Dy5 Dy 0.500 0.500 0.303
Dy6 Dy 0.500 0.000 0.776
Ho1 Ho 0.000 0.000 0.000
# - Energy relative to the elements: 0.230 eV/atom
# - Crystal system: orthorhombic
# - Fermi-level density of states: 20.7 states/eV/cell


4.
# SbRuSe, relaxed, DFT PBE-GGA
data_SbRuSe
_chemical_formula_sum 'Sb1 Ru1 Se1'
_symmetry_space_group_name_H-M 'P 1'
_symmetry_Int_Tables_number 1
_cell_length_a 4.431
_cell_length_b 4.431
_cell_length_c 4.431
_cell_angle_alpha 60.00
_cell_angle_beta 60.00
_cell_angle_gamma 60.00
loop_
_symmetry_equiv_pos_as_xyz
'x,y,z'
loop_
_atom_site_label
_atom_site_type_symbol
_atom_site_fract_x
_atom_site_fract_y
_atom_site_fract_z
Sb1 Sb 0.000 0.000 0.000
Se1 Se 0.500 0.500 0.500
Ru1 Ru 0.250 0.250 0.250
# - Crystal system: cubic
# - Total DFT energy (no corrections): -17.1 eV per formula unit
# - Fermi-level density of states: 2.8 states/eV/cell


5.
# YPOs2, relaxed, DFT PBE-GGA
data_YPOs2
_chemical_formula_sum 'Y1 P1 Os2'
_symmetry_space_group_name_H-M 'P 1'
_symmetry_Int_Tables_number 1
_cell_length_a 5.256
_cell_length_b 5.256
_cell_length_c 4.875
_cell_angle_alpha 65.53
_cell_angle_beta 65.53
_cell_angle_gamma 32.93
loop_
_symmetry_equiv_pos_as_xyz
'x,y,z'
loop_
_atom_site_label
_atom_site_type_symbol
_atom_site_fract_x
_atom_site_fract_y
_atom_site_fract_z
Os1 Os 0.711 0.711 0.315
Os2 Os 0.289 0.289 0.685
Y1 Y 0.500 0.500 0.000
P1 P 0.000 0.000 0.500
# - Energy relative to the elements: -0.055 eV/atom
# - Crystal system: monoclinic
# - Fermi-level density of states: 2.9 states/eV/cell


6.
# Gd2ErTl, relaxed, DFT PBE-GGA
data_Gd2ErTl
_chemical_formula_sum 'Gd2 Er1 Tl1'
_symmetry_space_group_name_H-M 'P 1'
_symmetry_Int_Tables_number 1
_cell_length_a 3.627
_cell_length_b 3.627
_cell_length_c 9.205
_cell_angle_alpha 90.00
_cell_angle_beta 90.00
_cell_angle_gamma 90.00
loop_
_symmetry_equiv_pos_as_xyz
'x,y,z'
loop_
_atom_site_label
_atom_site_type_symbol
_atom_site_fract_x
_atom_site_fract_y
_atom_site_fract_z
Gd1 Gd 0.000 0.000 0.767
Gd2 Gd 0.000 0.000 0.233
Tl1 Tl 0.500 0.500 0.000
Er1 Er 0.500 0.500 0.500
# - Energy relative to the elements: -0.163 eV/atom
# - Crystal system: tetragonal
# - Relative energy among the computed polymorphs: 4.9 kJ per mole of atoms
# - Fermi-level density of states: 5.9 states/eV/cell


7.
# DyZrAg, relaxed, DFT PBE-GGA
data_DyZrAg
_chemical_formula_sum 'Dy1 Zr1 Ag1'
_symmetry_space_group_name_H-M 'P 1'
_symmetry_Int_Tables_number 1
_cell_length_a 3.397
_cell_length_b 4.960
_cell_length_c 4.960
_cell_angle_alpha 120.00
_cell_angle_beta 90.00
_cell_angle_gamma 90.00
loop_
_symmetry_equiv_pos_as_xyz
'x,y,z'
loop_
_atom_site_label
_atom_site_type_symbol
_atom_site_fract_x
_atom_site_fract_y
_atom_site_fract_z
Ag1 Ag 0.245 0.333 0.667
Dy1 Dy 0.646 0.667 0.333
Zr1 Zr 0.109 0.000 0.000
# - Energy relative to the elements: 0.137 eV/atom
# - Crystal system: trigonal
# - Relative energy among the computed polymorphs: 21.2 kJ per mole of atoms
# - Fermi-level density of states: 4.3 states/eV/cell


8.
# LiCrIn2, relaxed, DFT PBE-GGA
data_LiCrIn2
_chemical_formula_sum 'Li1 Cr1 In2'
_symmetry_space_group_name_H-M 'P 1'
_symmetry_Int_Tables_number 1
_cell_length_a 4.866
_cell_length_b 4.866
_cell_length_c 5.776
_cell_angle_alpha 81.70
_cell_angle_beta 81.70
_cell_angle_gamma 37.17
loop_
_symmetry_equiv_pos_as_xyz
'x,y,z'
loop_
_atom_site_label
_atom_site_type_symbol
_atom_site_fract_x
_atom_site_fract_y
_atom_site_fract_z
Cr1 Cr 0.250 0.250 0.250
In1 In 0.504 0.504 0.498
In2 In 0.996 0.996 0.002
Li1 Li 0.750 0.750 0.750
# - Energy relative to the elements: 0.174 eV/atom
# - Crystal system: monoclinic
# - Fermi-level density of states: 2.2 states/eV/cell


9.
# Tm3In3Ag2, relaxed, DFT PBE-GGA
data_Tm3In3Ag2
_chemical_formula_sum 'Tm3 In3 Ag2'
_symmetry_space_group_name_H-M 'P 1'
_symmetry_Int_Tables_number 1
_cell_length_a 3.714
_cell_length_b 7.745
_cell_length_c 7.745
_cell_angle_alpha 120.00
_cell_angle_beta 90.00
_cell_angle_gamma 90.00
loop_
_symmetry_equiv_pos_as_xyz
'x,y,z'
loop_
_atom_site_label
_atom_site_type_symbol
_atom_site_fract_x
_atom_site_fract_y
_atom_site_fract_z
In1 In 0.000 0.760 0.760
In2 In 0.000 0.240 0.000
In3 In 0.000 0.000 0.240
Tm1 Tm 0.500 0.000 0.597
Tm2 Tm 0.500 0.597 0.000
Tm3 Tm 0.500 0.403 0.403
Ag1 Ag 0.000 0.667 0.333
Ag2 Ag 0.000 0.333 0.667
# - Energy relative to the elements: -0.386 eV/atom
# - Crystal system: hexagonal
# - Fermi-level density of states: 4.0 states/eV/cell


10.
# PaIn5Ru, relaxed, DFT PBE-GGA
data_PaIn5Ru
_chemical_formula_sum 'Pa1 In5 Ru1'
_symmetry_space_group_name_H-M 'P 1'
_symmetry_Int_Tables_number 1
_cell_length_a 4.687
_cell_length_b 4.687
_cell_length_c 7.453
_cell_angle_alpha 90.00
_cell_angle_beta 90.00
_cell_angle_gamma 90.00
loop_
_symmetry_equiv_pos_as_xyz
'x,y,z'
loop_
_atom_site_label
_atom_site_type_symbol
_atom_site_fract_x
_atom_site_fract_y
_atom_site_fract_z
In1 In 0.000 0.500 0.698
In2 In 0.000 0.500 0.302
In3 In 0.500 0.000 0.698
In4 In 0.500 0.000 0.302
In5 In 0.500 0.500 0.000
Ru1 Ru 0.000 0.000 0.500
Pa1 Pa 0.000 0.000 0.000
# - Energy relative to the elements: -0.147 eV/atom
# - Crystal system: tetragonal
# - Fermi-level density of states: 6.5 states/eV/cell


11.
# Pm4Nd6Er, relaxed, DFT PBE-GGA
data_Pm4Nd6Er
_chemical_formula_sum 'Pm4 Nd6 Er1'
_symmetry_space_group_name_H-M 'P 1'
_symmetry_Int_Tables_number 1
_cell_length_a 6.773
_cell_length_b 6.773
_cell_length_c 9.794
_cell_angle_alpha 110.23
_cell_angle_beta 110.23
_cell_angle_gamma 90.00
loop_
_symmetry_equiv_pos_as_xyz
'x,y,z'
loop_
_atom_site_label
_atom_site_type_symbol
_atom_site_fract_x
_atom_site_fract_y
_atom_site_fract_z
Pm1 Pm 0.700 0.053 0.753
Pm2 Pm 0.300 0.300 0.247
Pm3 Pm 0.947 0.947 0.247
Pm4 Pm 0.053 0.700 0.753
Nd1 Nd 0.487 0.866 0.353
Nd2 Nd 0.513 0.513 0.647
Nd3 Nd 0.866 0.487 0.353
Nd4 Nd 0.000 0.500 0.000
Nd5 Nd 0.500 0.000 0.000
Nd6 Nd 0.134 0.134 0.647
Er1 Er 0.500 0.500 0.000
# - Energy relative to the elements: 0.279 eV/atom
# - Crystal system: tetragonal
# - Fermi-level density of states: 17.1 states/eV/cell